1.
Crystalline AcGeHRu2 at its relaxed geometry. Source: Alexandria, functional GGA-PBE.

Results
Its symmetry is No. 63. The final energy is -6.389 eV/atom.

abc: 3.976 6.056 7.373
angles: 90.00 90.00 109.17
Element x y z (fractional)
Ac  0.441  0.881  0.750
Ac  0.559  0.119  0.250
Ge  0.717  0.434  0.750
Ge  0.283  0.566  0.250
H  0.000  0.000  0.000
H  0.000  0.000  0.500
Ru  0.163  0.327  0.951
Ru  0.837  0.673  0.049
Ru  0.163  0.327  0.549
Ru  0.837  0.673  0.451

***

2.
Crystalline AcGeH2Ru2 at its relaxed geometry. Source: Alexandria, functional GGA-PBE.

Results
Its symmetry is No. 11. The final energy is -5.820 eV/atom.

abc: 5.482 6.245 6.271
angles: 110.76 90.00 90.00
Element x y z (fractional)
Ac  0.750  0.314  0.684
Ac  0.250  0.686  0.316
Ge  0.250  0.153  0.850
Ge  0.750  0.847  0.150
H  0.250  0.266  0.391
H  0.250  0.609  0.731
H  0.750  0.734  0.609
H  0.750  0.391  0.269
Ru  0.500  0.191  0.192
Ru  0.000  0.191  0.192
Ru  0.000  0.809  0.808
Ru  0.500  0.809  0.808

***

3.
Crystalline SrAcGeH at its relaxed geometry. Source: Alexandria, functional GGA-PBE.

Results
Its symmetry is No. 216. The final energy is -3.833 eV/atom.

abc: 5.301 5.301 5.301
angles: 60.00 60.00 60.00
Element x y z (fractional)
Sr  0.750  0.750  0.750
Ac  0.250  0.250  0.250
Ge  0.000  0.000  0.000
H  0.500  0.500  0.500

***

4.
Crystalline Ac8Ge3Te4H at its relaxed geometry. Source: Alexandria, functional GGA-PBE.

Results
Its symmetry is No. 166. The final energy is -5.011 eV/atom.

abc: 9.211 9.368 9.211
angles: 119.45 120.00 90.00
Element x y z (fractional)
Ac  0.245  0.726  0.981
Ac  0.245  0.726  0.491
Ac  0.258  0.274  0.516
Ac  0.736  0.726  0.981
Ac  0.264  0.274  0.019
Ac  0.742  0.726  0.484
Ac  0.755  0.274  0.509
Ac  0.755  0.274  0.019
Ge  0.500  0.500  0.000
Ge  0.500  0.500  0.500
Ge  0.000  0.500  0.500
Te  0.500  0.000  0.000
Te  0.500  0.000  0.500
Te  0.000  0.000  0.000
Te  0.000  0.000  0.500
H  0.000  0.500  0.000

***

5.
Crystalline AcThGeH at its relaxed geometry. Source: Alexandria, functional GGA-PBE.

Results
Its symmetry is No. 129. The final energy is -5.455 eV/atom.

abc: 4.553 4.553 9.281
angles: 90.00 90.00 90.00
Element x y z (fractional)
Ac  0.500  0.000  0.633
Ac  0.000  0.500  0.367
Th  0.500  0.500  0.000
Th  0.000  0.000  0.000
Ge  0.000  0.500  0.766
Ge  0.500  0.000  0.234
H  0.000  0.000  0.500
H  0.500  0.500  0.500

***

6.
Crystalline AcHfGe2 at its relaxed geometry. Source: Alexandria, functional GGA-PBE.

Results
The energy above the most stable polymorph in this dataset is 0.00 eV per formula unit. Its symmetry is No. 123. For the formation energy, the calculation gives -182 kJ/mol of formula units.

abc: 3.741 3.741 6.663
angles: 90.00 90.00 90.00
Element x y z (fractional)
Ac  0.500  0.500  0.000
Hf  0.500  0.500  0.500
Ge  0.000  0.000  0.692
Ge  0.000  0.000  0.308

***

7.
Crystalline Ac5HfGe4 at its relaxed geometry. Source: Alexandria, functional GGA-PBE.

Results
Its symmetry is No. 12. For the formation energy, the calculation gives -409 kJ/mol of formula units.

abc: 4.353 8.461 9.786
angles: 103.44 102.85 90.00
Element x y z (fractional)
Ac  0.839  0.655  0.677
Ac  0.828  0.166  0.657
Ac  0.172  0.834  0.343
Ac  0.500  0.500  0.000
Ac  0.161  0.345  0.323
Hf  0.500  0.000  0.000
Ge  0.346  0.916  0.692
Ge  0.003  0.786  0.006
Ge  0.654  0.084  0.308
Ge  0.997  0.214  0.994

***

8.
Crystalline AcHfGe2 at its relaxed geometry. Source: Alexandria, functional GGA-PBE.

Results
The energy above the most stable polymorph in this dataset is 3.12 eV per formula unit. Its symmetry is No. 166. For the formation energy, the calculation gives 119 kJ/mol of formula units.

abc: 3.356 3.356 11.106
angles: 81.31 81.31 60.00
Element x y z (fractional)
Ac  0.500  0.500  0.500
Hf  0.000  0.000  0.000
Ge  0.082  0.082  0.754
Ge  0.918  0.918  0.246

***

9.
Crystalline Ac2HfGe3Ir4 at its relaxed geometry. Source: Alexandria, functional GGA-PBE.

Results
Its symmetry is No. 115. For the formation energy, the calculation gives -767 kJ/mol of formula units.

abc: 4.301 4.301 11.040
angles: 90.00 90.00 90.00
Element x y z (fractional)
Ac  0.500  0.000  0.241
Ac  0.000  0.500  0.759
Hf  0.500  0.500  0.500
Ge  0.000  0.000  0.500
Ge  0.500  0.000  0.878
Ge  0.000  0.500  0.122
Ir  0.500  0.500  0.000
Ir  0.000  0.000  0.000
Ir  0.500  0.000  0.643
Ir  0.000  0.500  0.357

***

10.
Crystalline Ac2HfGe4Ir3 at its relaxed geometry. Source: Alexandria, functional GGA-PBE.

Results
Its symmetry is No. 115. For the formation energy, the calculation gives -696 kJ/mol of formula units.

abc: 4.346 4.346 11.032
angles: 90.00 90.00 90.00
Element x y z (fractional)
Ac  0.500  0.000  0.237
Ac  0.000  0.500  0.763
Hf  0.500  0.500  0.500
Ge  0.500  0.500  0.000
Ge  0.000  0.000  0.000
Ge  0.500  0.000  0.649
Ge  0.000  0.500  0.351
Ir  0.000  0.000  0.500
Ir  0.500  0.000  0.882
Ir  0.000  0.500  0.118

***

11.
Crystalline Ac2HfGe4Pt3 at its relaxed geometry. Source: Alexandria, functional GGA-PBE.

Results
Its symmetry is No. 115. For the formation energy, the calculation gives -885 kJ/mol of formula units.

abc: 4.393 4.393 11.083
angles: 90.00 90.00 90.00
Element x y z (fractional)
Ac  0.500  0.000  0.236
Ac  0.000  0.500  0.764
Hf  0.500  0.500  0.500
Ge  0.500  0.500  0.000
Ge  0.000  0.000  0.000
Ge  0.500  0.000  0.644
Ge  0.000  0.500  0.356
Pt  0.000  0.000  0.500
Pt  0.500  0.000  0.880
Pt  0.000  0.500  0.120

***

12.
Crystalline Ac2HfGe3Rh4 at its relaxed geometry. Source: Alexandria, functional GGA-PBE.

Results
Its symmetry is No. 115. For the formation energy, the calculation gives -837 kJ/mol of formula units.

abc: 4.289 4.289 11.035
angles: 90.00 90.00 90.00
Element x y z (fractional)
Ac  0.500  0.000  0.241
Ac  0.000  0.500  0.759
Hf  0.500  0.500  0.500
Ge  0.000  0.000  0.500
Ge  0.500  0.000  0.879
Ge  0.000  0.500  0.121
Rh  0.500  0.500  0.000
Rh  0.000  0.000  0.000
Rh  0.500  0.000  0.643
Rh  0.000  0.500  0.357